Computed, not measured: SmZrCuRe after structural relaxation at the PBE-GGA level of DFT.

Cell: 4.8070 4.8070 4.8070 Å, 60.00 60.00 60.00°
With the nearest neighbours (Å) after each atom.
Element x y z (fractional)
Re 0.0000 0.0000 0.0000  4 Zr 2.94, 4 Sm 2.94
Cu 0.5000 0.5000 0.5000  4 Sm 2.94, 4 Zr 2.94
Zr 0.2500 0.2500 0.2500  4 Cu 2.94, 4 Re 2.94
Sm 0.7500 0.7500 0.7500  4 Re 2.94, 4 Cu 2.94

Summary:
The calculation puts the total energy at -7.443 eV per atom.


Computed, not measured: NaTl2CdI5 after structural relaxation at the PBE-GGA level of DFT.

Cell: 4.6216 10.9798 14.9432 Å, 90.00 90.00 102.15°
With the nearest neighbours (Å) after each atom.
Element x y z (fractional)
Na 0.7926 0.5853 0.5301  5 I 3.16-3.31
Na 0.2074 0.4147 0.0301  5 I 3.16-3.31
Tl 0.8651 0.7302 0.8264  7 I 3.56-3.91
Tl 0.1361 0.2721 0.6772  3 I 3.41
Tl 0.1349 0.2698 0.3264  7 I 3.56-3.91
Tl 0.8639 0.7279 0.1772  3 I 3.41
Cd 0.5586 0.1172 0.9244  4 I 2.77-2.88
Cd 0.4414 0.8828 0.4244  4 I 2.77-2.88
I 0.3537 0.7075 0.0104  1 Na 3.16, 2 Tl 3.41
I 0.6862 0.3724 0.8748  1 Cd 2.84
I 0.4896 0.9792 0.7681  1 Cd 2.77
I 0.2949 0.5897 0.6757  2 Na 3.17, 1 Tl 3.41
I 0.9577 0.9154 0.5367  2 Cd 2.88
I 0.6463 0.2925 0.5104  1 Na 3.16, 2 Tl 3.41
I 0.3138 0.6276 0.3748  1 Cd 2.84
I 0.5104 0.0208 0.2681  1 Cd 2.77
I 0.7051 0.4103 0.1757  2 Na 3.17, 1 Tl 3.41
I 0.0423 0.0846 0.0367  2 Cd 2.88

Summary:
The raw formation energy comes out at -0.76 eV per atom.